(1)
Compound: PaTl2Cl6
Source: OQMD via LeMat-Bulk
Functional: PBE-GGA
Structure: relaxed

Cell: 7.385 7.385 10.184 Å, 90.00 90.00 90.00°
Space group I4/mmm (No. 139)
Inequivalent atoms, fractional coordinates:
Pa (0.000, 0.000, 0.000)
Tl (0.000, 0.500, 0.250)
Cl (0.000, 0.000, 0.258)
Cl (0.248, 0.248, 0.500)

offset from the most stable computed form = 26 meV/atom

---

(2)
Compound: Dy2YTm3CuTe2
Source: OQMD via LeMat-Bulk
Functional: PBE-GGA
Structure: relaxed

Cell: 3.938 14.444 8.358 Å, 90.00 90.00 90.00°
Space group Amm2 (No. 38)
Inequivalent atoms, fractional coordinates:
Dy (0.000, 0.201, 0.000)
Y (0.000, 0.000, 0.397)
Tm (0.500, 0.000, 0.040)
Tm (0.500, 0.121, 0.679)
Cu (0.000, 0.000, 0.799)
Te (0.500, 0.167, 0.299)

E = -4.993 eV/atom

---

(3)
Compound: AsOsPbO
Source: OQMD via LeMat-Bulk
Functional: PBE-GGA
Structure: relaxed

Cell: 3.692 7.861 5.434 Å, 90.00 90.00 90.00°
Space group Pmc2_1 (No. 26)
Inequivalent atoms, fractional coordinates:
As (0.000, 0.157, 0.000)
Os (0.500, 0.028, 0.224)
Pb (0.000, 0.389, 0.558)
O (0.500, 0.195, 0.508)

offset from the most stable computed form = 235 meV/atom

---

(4)
Compound: LiY2Ir
Source: OQMD via LeMat-Bulk
Functional: PBE-GGA
Structure: relaxed

Cell: 6.954 6.954 6.954 Å, 90.00 90.00 90.00°
Space group Fm-3m (No. 225)
Inequivalent atoms, fractional coordinates:
Li (0.000, 0.000, 0.000)
Y (0.250, 0.250, 0.250)
Ir (0.000, 0.000, 0.500)

E = -6.483 eV/atom

---

(5)
Compound: SmGdNi4
Source: OQMD via LeMat-Bulk
Functional: PBE-GGA
Structure: relaxed

Cell: 7.217 7.217 7.217 Å, 90.00 90.00 90.00°
Space group F-43m (No. 216)
Inequivalent atoms, fractional coordinates:
Sm (0.000, 0.000, 0.000)
Gd (0.250, 0.250, 0.250)
Ni (0.125, 0.125, 0.625)

offset from the most stable computed form = 0 meV/atom
E_form = -393 meV per atom

---

(6)
Compound: Al8Re7
Source: OQMD via LeMat-Bulk
Functional: PBE-GGA
Structure: relaxed

Cell: 9.402 9.402 4.957 Å, 90.00 90.00 90.00°
Space group P4_2/mnm (No. 136)
Inequivalent atoms, fractional coordinates:
Al (0.061, 0.263, 0.000)
Al (0.180, 0.820, 0.249)
Re (0.000, 0.000, 0.000)
Re (0.036, 0.363, 0.500)
Re (0.105, 0.105, 0.500)

offset from the most stable computed form = 0 meV/atom

---

(7)
Compound: ZrTl2NiBr6
Source: OQMD via LeMat-Bulk
Functional: PBE-GGA
Structure: relaxed

Cell: 10.582 10.582 10.582 Å, 90.00 90.00 90.00°
Space group Fm-3m (No. 225)
Inequivalent atoms, fractional coordinates:
Zr (0.000, 0.000, 0.000)
Tl (0.250, 0.250, 0.250)
Ni (0.000, 0.000, 0.500)
Br (0.000, 0.000, 0.254)

E = -3.647 eV/atom

---

(8)
Compound: PrY2Tl2Cd4
Source: OQMD via LeMat-Bulk
Functional: PBE-GGA
Structure: relaxed

Cell: 4.620 13.306 7.563 Å, 90.00 90.00 90.00°
Space group Amm2 (No. 38)
Inequivalent atoms, fractional coordinates:
Pr (0.000, 0.000, 0.000)
Y (0.000, 0.213, 0.636)
Tl (0.500, 0.170, 0.924)
Cd (0.000, 0.000, 0.434)
Cd (0.500, 0.000, 0.666)
Cd (0.500, 0.119, 0.306)

E = -3.252 eV/atom

---

(9)
Compound: PrMgZnN2
Source: OQMD via LeMat-Bulk
Functional: PBE-GGA
Structure: relaxed

Cell: 3.5272 3.5272 6.3757 Å, 90.00 90.00 120.00°
Space group P3m1 (No. 156)
Inequivalent atoms, fractional coordinates:
Pr (0.0000, 0.0000, 0.0000)
Mg (0.6667, 0.3333, 0.6259)
Zn (0.3333, 0.6667, 0.3596)
N (0.3333, 0.6667, 0.7261)
N (0.6667, 0.3333, 0.2847)

E = -5.397 eV/atom

---

(10)
Compound: DyInAg
Source: OQMD via LeMat-Bulk
Functional: PBE-GGA
Structure: relaxed

Cell: 6.763 6.763 6.763 Å, 90.00 90.00 90.00°
Space group F-43m (No. 216)
Inequivalent atoms, fractional coordinates:
Dy (0.000, 0.000, 0.000)
In (0.000, 0.000, 0.500)
Ag (0.250, 0.250, 0.250)

E = -3.678 eV/atom

---

(11)
Compound: Li4Al2AgIr
Source: OQMD via LeMat-Bulk
Functional: PBE-GGA
Structure: relaxed

Cell: 4.324 4.324 6.127 Å, 90.00 90.00 90.00°
Space group P-4m2 (No. 115)
Inequivalent atoms, fractional coordinates:
Li (0.000, 0.000, 0.000)
Li (0.000, 0.500, 0.746)
Li (0.500, 0.500, 0.500)
Al (0.000, 0.500, 0.281)
Ag (0.500, 0.500, 0.000)
Ir (0.000, 0.000, 0.500)

E = -3.723 eV/atom

---

(12)
Compound: LaNbGa
Source: OQMD via LeMat-Bulk
Functional: PBE-GGA
Structure: relaxed

Cell: 6.632 6.632 6.632 Å, 90.00 90.00 90.00°
Space group F-43m (No. 216)
Inequivalent atoms, fractional coordinates:
La (0.000, 0.000, 0.000)
Nb (0.250, 0.250, 0.250)
Ga (0.000, 0.000, 0.500)

offset from the most stable computed form = 0 meV/atom